No. 1
A plane-wave DFT calculation with PBE was carried out for a relaxed structure of K4Tc3BiO12.

```
data_K4Tc3BiO12
_cell_length_a 8.1931
_cell_length_b 8.1931
_cell_length_c 8.1931
_cell_angle_alpha 90.00
_cell_angle_beta 90.00
_cell_angle_gamma 90.00
_symmetry_space_group_name_H-M 'I m -3 m'
_symmetry_Int_Tables_number 229
_symmetry_space_group_name_Hall '-I 4 2 3'
loop_
_atom_site_label
_atom_site_fract_x
_atom_site_fract_y
_atom_site_fract_z
K1 0.2500 0.2500 0.2500
Tc1 0.0000 0.0000 0.5000
Bi1 0.0000 0.0000 0.0000
O1 0.0000 0.0000 0.2739
O2 0.0000 0.2500 0.5000
```

## Properties
ΔE_f (raw): -1417 meV per atom

***

No. 2
A plane-wave DFT calculation with PBE was carried out for a relaxed structure of KTcBi2O8.

```
data_KTcBi2O8
_cell_length_a 5.0377
_cell_length_b 7.0103
_cell_length_c 5.1954
_cell_angle_alpha 90.00
_cell_angle_beta 91.92
_cell_angle_gamma 90.00
_symmetry_space_group_name_H-M 'P 1 2/m 1'
_symmetry_Int_Tables_number 10
loop_
_symmetry_equiv_pos_as_xyz
'x,y,z'
'-x,-y,-z'
'-x,y,-z'
'x,-y,z'
loop_
_atom_site_label
_atom_site_fract_x
_atom_site_fract_y
_atom_site_fract_z
K1 0.0000 0.0000 0.0000
Tc1 0.0000 0.5000 0.0000
Bi1 0.5000 0.2489 0.5000
O1 0.1994 0.3113 0.1698
O2 0.2632 0.5000 0.7126
O3 0.2950 0.0000 0.6388
```

## Properties
ΔE_f (raw): -1047 meV per atom

***

No. 3
A plane-wave DFT calculation with PBE was carried out for a relaxed structure of KTcBiO5.

```
data_KTcBiO5
_cell_length_a 7.6769
_cell_length_b 10.3610
_cell_length_c 8.2440
_cell_angle_alpha 90.00
_cell_angle_beta 113.50
_cell_angle_gamma 90.00
_symmetry_space_group_name_H-M 'C 1 2/c 1'
_symmetry_Int_Tables_number 15
loop_
_symmetry_equiv_pos_as_xyz
'x,y,z'
'-x,-y,-z'
'-x,y,-z+1/2'
'x,-y,z+1/2'
'x+1/2,y+1/2,z'
'-x+1/2,-y+1/2,-z'
'-x+1/2,y+1/2,-z+1/2'
'x+1/2,-y+1/2,z+1/2'
loop_
_atom_site_label
_atom_site_fract_x
_atom_site_fract_y
_atom_site_fract_z
K1 0.0000 0.1738 0.2500
Tc1 0.0000 0.1785 0.7500
Bi1 0.0000 0.5000 0.0000
O1 0.0000 0.4237 0.2500
O2 0.1002 0.2843 0.6359
O3 0.1669 0.0750 0.9128
```

## Properties
ΔE_f (raw): -1374 meV per atom

***

No. 4
A plane-wave DFT calculation with PBE was carried out for a relaxed structure of K2BiTeO.

```
data_K2BiTeO
_cell_length_a 5.3633
_cell_length_b 5.3633
_cell_length_c 4.7943
_cell_angle_alpha 90.00
_cell_angle_beta 90.00
_cell_angle_gamma 90.00
_symmetry_space_group_name_H-M 'P 4/m m m'
_symmetry_Int_Tables_number 123
_symmetry_space_group_name_Hall '-P 4 2'
loop_
_atom_site_label
_atom_site_fract_x
_atom_site_fract_y
_atom_site_fract_z
K1 0.0000 0.5000 0.0000
Bi1 0.0000 0.0000 0.5000
Te1 0.5000 0.5000 0.5000
O1 0.0000 0.0000 0.0000
```

## Properties
ΔE_f (raw): -842 meV per atom

***

No. 5
A plane-wave DFT calculation with PBE was carried out for a relaxed structure of KBi2TeO8.

```
data_KBi2TeO8
_cell_length_a 4.9960
_cell_length_b 7.4223
_cell_length_c 5.0234
_cell_angle_alpha 90.00
_cell_angle_beta 91.30
_cell_angle_gamma 90.00
_symmetry_space_group_name_H-M 'P 1 2/m 1'
_symmetry_Int_Tables_number 10
loop_
_symmetry_equiv_pos_as_xyz
'x,y,z'
'-x,-y,-z'
'-x,y,-z'
'x,-y,z'
loop_
_atom_site_label
_atom_site_fract_x
_atom_site_fract_y
_atom_site_fract_z
K1 0.0000 0.0000 0.0000
Bi1 0.5000 0.2668 0.5000
Te1 0.0000 0.5000 0.0000
O1 0.1889 0.3061 0.1818
O2 0.2815 0.5000 0.7115
O3 0.3393 0.0000 0.6394
```

## Properties
ΔE_f (raw): -915 meV per atom

***

No. 6
A plane-wave DFT calculation with PBE was carried out for a relaxed structure of K2BiTe2O6.

```
data_K2BiTe2O6
_cell_length_a 9.9847
_cell_length_b 7.1551
_cell_length_c 6.6856
_cell_angle_alpha 90.00
_cell_angle_beta 111.97
_cell_angle_gamma 90.00
_symmetry_space_group_name_H-M 'C 1 2/m 1'
_symmetry_Int_Tables_number 12
loop_
_symmetry_equiv_pos_as_xyz
'x,y,z'
'-x,-y,-z'
'-x,y,-z'
'x,-y,z'
'x+1/2,y+1/2,z'
'-x+1/2,-y+1/2,-z'
'-x+1/2,y+1/2,-z'
'x+1/2,-y+1/2,z'
loop_
_atom_site_label
_atom_site_fract_x
_atom_site_fract_y
_atom_site_fract_z
K1 0.1736 0.0000 0.1210
Bi1 0.0000 0.0000 0.5000
Te1 0.0370 0.5000 0.2889
O1 0.0138 0.2215 0.7523
O2 0.2415 0.5000 0.4139
```

## Properties
ΔE_f (raw): -1107 meV per atom

***

No. 7
A plane-wave DFT calculation with PBE was carried out for a relaxed structure of KBiTeO6.

```
data_KBiTeO6
_cell_length_a 5.4987
_cell_length_b 5.4987
_cell_length_c 6.0374
_cell_angle_alpha 90.00
_cell_angle_beta 90.00
_cell_angle_gamma 120.00
_symmetry_space_group_name_H-M 'P 3 1 2'
_symmetry_Int_Tables_number 149
loop_
_symmetry_equiv_pos_as_xyz
'x,y,z'
'-y,x-y,z'
'-x+y,-x,z'
'-y,-x,-z'
'-x+y,y,-z'
'x,x-y,-z'
loop_
_atom_site_label
_atom_site_fract_x
_atom_site_fract_y
_atom_site_fract_z
K1 0.0000 0.0000 0.0000
Bi1 0.3333 0.6667 0.5000
Te1 0.6667 0.3333 0.5000
O1 0.3953 0.0249 0.6907
```

## Properties
ΔE_f (raw): -1122 meV per atom

***

No. 8
A plane-wave DFT calculation with PBE was carried out for a relaxed structure of K3BiTe2O9.

```
data_K3BiTe2O9
_cell_length_a 5.8774
_cell_length_b 5.8774
_cell_length_c 7.3055
_cell_angle_alpha 90.00
_cell_angle_beta 90.00
_cell_angle_gamma 120.00
_symmetry_space_group_name_H-M 'P -3 m 1'
_symmetry_Int_Tables_number 164
_symmetry_space_group_name_Hall '-P 3 2"'
loop_
_atom_site_label
_atom_site_fract_x
_atom_site_fract_y
_atom_site_fract_z
K1 0.0000 0.0000 0.0000
K2 0.3333 0.6667 0.6703
Bi1 0.0000 0.0000 0.5000
Te1 0.3333 0.6667 0.1628
O1 0.0000 0.5000 0.0000
O2 0.1766 0.3531 0.3076
```

## Properties
ΔE_f (raw): -1269 meV per atom